A plane-wave DFT calculation with PBE+U was carried out for a geometry-optimized HfVTcF2 structure.

Geometry as CIF:
```
data_HfVTcF2
_chemical_formula_sum 'Hf1 V1 Tc1 F2'
_space_group_name_H-M_alt 'P 4/m m m'
_space_group_IT_number 123
_space_group_name_Hall '-P 4 2'
_cell_length_a 3.841
_cell_length_b 3.841
_cell_length_c 5.349
_cell_angle_alpha 90.00
_cell_angle_beta 90.00
_cell_angle_gamma 90.00
loop_
_atom_site_label
_atom_site_type_symbol
_atom_site_fract_x
_atom_site_fract_y
_atom_site_fract_z
Hf1 Hf 0.000 0.000 0.000
V1 V 0.500 0.500 0.500
Tc1 Tc 0.500 0.500 0.000
F1 F 0.000 0.500 0.500
```

The theoretical density is 7.69 g/cm³. The value obtained for the total energy is -6.79 eV/atom. The calculation puts the total magnetic moment at 0.000 μB/f.u.